Entry 1:
Computed, not measured: RbLaSbI2 after structural relaxation at the PBE-GGA level of DFT.

## Properties
excess energy over the best structure of this formula in the dataset: 0.9587 eV/atom
ΔE_f (raw): 3 meV per atom

Cell: 6.1467 6.1467 6.2532 Å, 90.00 90.00 90.00°
Fractional coordinates of all 5 atoms:
Rb1 0.0000 0.0000 0.0000
La1 0.5000 0.5000 0.5000
Sb1 0.0000 0.0000 0.5000
I1 0.0000 0.5000 0.0000
I2 0.5000 0.0000 0.0000

---

Entry 2:
Computed, not measured: RbLaSbI2 after structural relaxation at the PBE-GGA level of DFT.

## Properties
excess energy over the best structure of this formula in the dataset: 0.0000 eV/atom
ΔE_f (raw): -956 meV per atom

Cell: 6.3828 6.3828 6.1839 Å, 90.00 90.00 90.00°
Fractional coordinates of all 5 atoms:
Rb1 0.0000 0.0000 0.0000
La1 0.5000 0.5000 0.5000
Sb1 0.5000 0.5000 0.0000
I1 0.0000 0.5000 0.5000
I2 0.5000 0.0000 0.5000

---

Entry 3:
Computed, not measured: Rb2LaScI6 after structural relaxation at the PBE-GGA level of DFT.

## Properties
ΔE_f (raw): -1242 meV per atom

Cell: 8.6331 8.6331 8.6331 Å, 60.00 60.00 60.00°
Fractional coordinates of all 10 atoms:
Rb1 0.2500 0.2500 0.2500
Rb2 0.7500 0.7500 0.7500
La1 0.0000 0.0000 0.0000
Sc1 0.5000 0.5000 0.5000
I1 0.2588 0.2588 0.7412
I2 0.2588 0.7412 0.2588
I3 0.2588 0.7412 0.7412
I4 0.7412 0.2588 0.2588
I5 0.7412 0.2588 0.7412
I6 0.7412 0.7412 0.2588

---

Entry 4:
Computed, not measured: Rb2LaSeI6 after structural relaxation at the PBE-GGA level of DFT.

## Properties
ΔE_f (raw): -1000 meV per atom

Cell: 8.9252 8.9252 8.9252 Å, 115.82 115.82 97.40°
Fractional coordinates of all 10 atoms:
Rb1 0.2500 0.7500 0.5000
Rb2 0.7500 0.2500 0.5000
La1 0.0000 0.0000 0.0000
Se1 0.5000 0.5000 0.0000
I1 0.2333 0.2333 0.4667
I2 0.2333 0.7667 0.0000
I3 0.2692 0.2692 0.0000
I4 0.7308 0.7308 0.0000
I5 0.7667 0.2333 0.0000
I6 0.7667 0.7667 0.5333

---

Entry 5:
Computed, not measured: Rb2LaSnI6 after structural relaxation at the PBE-GGA level of DFT.

## Properties
ΔE_f (raw): -1088 meV per atom

Cell: 9.0521 9.0521 9.0521 Å, 118.82 118.82 92.05°
Fractional coordinates of all 10 atoms:
Rb1 0.2500 0.7500 0.5000
Rb2 0.7500 0.2500 0.5000
La1 0.0000 0.0000 0.0000
Sn1 0.5000 0.5000 0.0000
I1 0.2436 0.2436 0.4871
I2 0.2436 0.7564 0.0000
I3 0.2511 0.2511 0.0000
I4 0.7489 0.7489 0.0000
I5 0.7564 0.2436 0.0000
I6 0.7564 0.7564 0.5129

---

Entry 6:
Computed, not measured: RbLaSn2I8 after structural relaxation at the PBE-GGA level of DFT.

## Properties
ΔE_f (raw): -965 meV per atom

Cell: 7.4569 7.9213 9.7876 Å, 89.88 89.87 89.02°
Fractional coordinates of all 12 atoms:
Rb1 0.0000 0.0000 0.0000
La1 0.0000 0.0000 0.5000
Sn1 0.4997 0.4999 0.2470
Sn2 0.5003 0.5001 0.7530
I1 0.2452 0.3328 0.4998
I2 0.2602 0.8392 0.7230
I3 0.2608 0.8398 0.2767
I4 0.2703 0.3765 0.0011
I5 0.7297 0.6235 0.9989
I6 0.7392 0.1602 0.7233
I7 0.7398 0.1608 0.2770
I8 0.7548 0.6672 0.5002

---

Entry 7:
Computed, not measured: Rb2SrLaI6 after structural relaxation at the PBE-GGA level of DFT.

## Properties
ΔE_f (raw): -1406 meV per atom

Cell: 9.0610 9.0610 9.0610 Å, 60.00 60.00 60.00°
Fractional coordinates of all 10 atoms:
Rb1 0.2500 0.2500 0.2500
Rb2 0.7500 0.7500 0.7500
Sr1 0.0000 0.0000 0.0000
La1 0.5000 0.5000 0.5000
I1 0.2513 0.2513 0.7487
I2 0.2513 0.7487 0.2513
I3 0.2513 0.7487 0.7487
I4 0.7487 0.2513 0.2513
I5 0.7487 0.2513 0.7487
I6 0.7487 0.7487 0.2513

---

Entry 8:
Computed, not measured: Rb2LaTaI6 after structural relaxation at the PBE-GGA level of DFT.

## Properties
ΔE_f (raw): -845 meV per atom

Cell: 8.4763 8.4763 8.4763 Å, 60.00 60.00 60.00°
Fractional coordinates of all 10 atoms:
Rb1 0.2500 0.2500 0.2500
Rb2 0.7500 0.7500 0.7500
La1 0.0000 0.0000 0.0000
Ta1 0.5000 0.5000 0.5000
I1 0.2625 0.2625 0.7375
I2 0.2625 0.7375 0.2625
I3 0.2625 0.7375 0.7375
I4 0.7375 0.2625 0.2625
I5 0.7375 0.2625 0.7375
I6 0.7375 0.7375 0.2625

---

Entry 9:
Computed, not measured: Rb2LaTcI6 after structural relaxation at the PBE-GGA level of DFT.

## Properties
ΔE_f (raw): -893 meV per atom

Cell: 8.3401 8.3401 8.3401 Å, 60.00 60.00 60.00°
Fractional coordinates of all 10 atoms:
Rb1 0.2500 0.2500 0.2500
Rb2 0.7500 0.7500 0.7500
La1 0.0000 0.0000 0.0000
Tc1 0.5000 0.5000 0.5000
I1 0.2659 0.2659 0.7341
I2 0.2659 0.7341 0.2659
I3 0.2659 0.7341 0.7341
I4 0.7341 0.2659 0.2659
I5 0.7341 0.2659 0.7341
I6 0.7341 0.7341 0.2659

---

Entry 10:
Computed, not measured: RbLaTeI after structural relaxation at the PBE-GGA level of DFT.

## Properties
ΔE_f (raw): -1297 meV per atom

Cell: 9.3811 9.3811 9.3811 Å, 28.38 28.38 28.38°
Fractional coordinates of all 4 atoms:
Rb1 0.0000 0.0000 0.0000
La1 0.8197 0.8197 0.8197
Te1 0.4199 0.4199 0.4199
I1 0.2313 0.2313 0.2313

---

no.,N(E_F) (states/eV/atom)
1,1.064
2,1.008
3,0.609
4,0.769
5,0.615
6,0.000
7,0.703
8,0.368
9,0.000
10,0.756